1.
! Nd2ZnAg, optimized geometry, DFT PBEsol; values from VASP
&SYSTEM
  ibrav = 0, nat = 4, ntyp = 3
/
ATOMIC_SPECIES
Zn 65.41 Zn.upf
Nd 144.24 Nd.upf
Ag 107.87 Ag.upf
CELL_PARAMETERS angstrom
-0.431 4.723 2.048
-1.205 0.550 4.994
3.554 1.700 3.342
ATOMIC_POSITIONS angstrom
Zn 0.000 0.000 0.000
Nd 0.479 1.743 2.596
Nd 1.438 5.230 7.788
Ag 0.959 3.487 5.192
! DFT formation energy: -0.26 eV/atom

---

2.
! Ba2CrCd, optimized geometry, DFT PBEsol; values from VASP
&SYSTEM
  ibrav = 0, nat = 4, ntyp = 3
/
ATOMIC_SPECIES
Ba 137.33 Ba.upf
Cd 112.41 Cd.upf
Cr 52.00 Cr.upf
CELL_PARAMETERS angstrom
3.892 0.000 0.000
0.000 3.892 0.000
0.000 0.000 9.291
ATOMIC_POSITIONS angstrom
Ba 0.000 0.000 8.644
Ba 1.946 1.946 2.998
Cd 0.000 0.000 5.256
Cr 1.946 1.946 6.329
! DFT formation energy: 0.37 eV/atom

---

3.
! Al2Te5, optimized geometry, DFT PBEsol; values from VASP
&SYSTEM
  ibrav = 0, nat = 7, ntyp = 2
/
ATOMIC_SPECIES
Te 127.60 Te.upf
Al 26.98 Al.upf
CELL_PARAMETERS angstrom
4.152 0.000 0.000
2.076 6.767 0.102
2.076 0.857 7.790
ATOMIC_POSITIONS angstrom
Te 4.152 4.781 0.985
Te 4.152 2.842 6.906
Te 0.000 0.000 0.000
Te 2.076 2.021 3.060
Te 6.228 5.603 4.831
Al 4.152 6.115 3.197
Al 4.152 1.509 4.694
! Energy relative to the elements, uncorrected: -0.279 eV/atom

---

In order of appearance, M_tot = 0.1 4.5 0.0 μB per formula unit.